# CaFeOs2 (meta-GGA SCAN, PBEsol geometry)
data_CaFeOs2
_space_group_name_H-M_alt 'I 4/m m m'
_space_group_IT_number 139
_space_group_name_Hall '-I 4 2'
_cell_length_a 3.856
_cell_length_b 3.856
_cell_length_c 8.228
_cell_angle_alpha 90.00
_cell_angle_beta 90.00
_cell_angle_gamma 90.00
loop_
_atom_site_label
_atom_site_fract_x
_atom_site_fract_y
_atom_site_fract_z
Ca1 0.000 0.000 0.000
Fe1 0.000 0.000 0.500
Os1 0.000 0.500 0.250
# Energy above the lowest structure with this stoichiometry in kcal/mol of atoms: 8.69